1.
A relaxed structure of NaSrCa2Ag, computed with PBE.

The structure in POSCAR format:
```
NaSrCa2Ag
1.0
5.8973 0.0000 0.0000
0.0000 5.8973 0.0000
0.0000 0.0000 6.1611
Na Sr Ca Ag
1 1 2 1
direct
0.0000 0.0000 0.0000
0.5000 0.5000 0.0000
0.0000 0.5000 0.5000
0.5000 0.0000 0.5000
0.5000 0.5000 0.5000
```

Properties
Energy of formation, eV/atom: -0.05
E_tot, eV per cell: -10.12

***

2.
A relaxed structure of NaSrCaAg, computed with PBE.

The structure in POSCAR format:
```
NaSrCaAg
1.0
3.9214 0.0000 0.0000
0.0000 3.9214 0.0000
0.0000 0.0000 8.9710
Na Sr Ca Ag
1 1 1 1
direct
0.0000 0.0000 0.0000
0.5000 0.5000 0.6862
0.5000 0.5000 0.2819
0.0000 0.0000 0.4657
```

Properties
Energy of formation, eV/atom: -0.13
E_tot, eV per cell: -8.39

***

3.
A relaxed structure of NaCaTbAg, computed with PBE.

The structure in POSCAR format:
```
NaCaTbAg
1.0
0.0000 3.8172 3.8172
3.8172 0.0000 3.8172
3.8172 3.8172 0.0000
Na Ca Tb Ag
1 1 1 1
direct
0.0000 0.0000 0.0000
0.2500 0.2500 0.2500
0.7500 0.7500 0.7500
0.5000 0.5000 0.5000
```

Properties
Energy of formation, eV/atom: 0.04
E_tot, eV per cell: -10.64

***

4.
A relaxed structure of Na2CaTlAg, computed with PBE.

The structure in POSCAR format:
```
Na2CaTlAg
1.0
5.6997 0.0000 0.0000
0.0000 5.6997 0.0000
0.0000 0.0000 5.3640
Na Ca Tl Ag
2 1 1 1
direct
0.0000 0.5000 0.0000
0.5000 0.0000 0.0000
0.0000 0.0000 0.5000
0.5000 0.5000 0.0000
0.5000 0.5000 0.5000
```

Properties
Energy of formation, eV/atom: 0.21
E_tot, eV per cell: -8.81

***

5.
A relaxed structure of NaCaAg2W, computed with PBE.

The structure in POSCAR format:
```
NaCaAg2W
1.0
4.9608 0.0000 0.0000
0.0000 4.9608 0.0000
0.0000 0.0000 5.2426
Na Ca Ag W
1 1 2 1
direct
0.0000 0.0000 0.0000
0.5000 0.5000 0.5000
0.0000 0.5000 0.0000
0.5000 0.0000 0.0000
0.0000 0.0000 0.5000
```

Properties
Energy of formation, eV/atom: 1.35
E_tot, eV per cell: -15.22

***

6.
A relaxed structure of CaNbAg, computed with PBE.

The structure in POSCAR format:
```
CaNbAg
1.0
3.0719 0.0000 0.0000
0.0021 4.9852 0.0000
0.0003 1.4194 8.5801
Ca Nb Ag
2 2 2
direct
0.2478 0.1687 0.2878
0.7522 0.8313 0.7122
0.2513 0.7377 0.0522
0.7487 0.2623 0.9478
0.2512 0.3556 0.6326
0.7488 0.6444 0.3674
```

Properties
Energy of formation, eV/atom: 0.21
E_tot, eV per cell: -28.56

***

| no. | spin magnetization (μB per atom) | mass density (g/cm³) |
| --- | --- | --- |
| 1 | 0.000 | 2.31 |
| 2 | 0.000 | 3.11 |
| 3 | 0.000 | 4.92 |
| 4 | 0.000 | 3.80 |
| 5 | 0.747 | 5.95 |
| 6 | 0.000 | 6.09 |